1.
Compound: CeMg2
Source: Alexandria via LeMat-Bulk
Functional: PBEsol
Structure: optimized geometry

Computed properties:
Formation energy: 0.015 eV/atom
N(E_F): 7.06 states/eV per cell
Total DFT energy (no corrections): -3.329 eV/atom
Symmetry: Cmcm (63)

Lattice parameters (Å, degrees): 3.044 5.107 9.138 90.00 99.59 90.00
Sites, in units of the cell vectors:
Ce (0.465, 0.250, 0.929)
Ce (0.535, 0.750, 0.071)
Mg (0.126, 0.250, 0.253)
Mg (0.784, 0.250, 0.569)
Mg (0.216, 0.750, 0.431)
Mg (0.874, 0.750, 0.747)

2.
Compound: CeMg2
Source: Alexandria via LeMat-Bulk
Functional: PBEsol
Structure: optimized geometry

Computed properties:
Formation energy: 0.026 eV/atom
N(E_F): 9.46 states/eV per cell
Total DFT energy (no corrections): -3.318 eV/atom
Symmetry: C2/m (12)

Lattice parameters (Å, degrees): 3.067 6.600 7.538 102.19 90.00 103.44
Each line ends with the local moment (μB).
Sites, in units of the cell vectors:
Mg (0.212, 0.424, 0.654)  0.00
Mg (0.859, 0.719, 0.976)  0.00
Mg (0.141, 0.281, 0.024)  0.00
Mg (0.788, 0.576, 0.346)  0.00
Ce (0.482, 0.964, 0.665)  0.56
Ce (0.518, 0.036, 0.335)  0.56